Ce3Sm | PBE-GGA | optimized geometry

Cell and atoms, written as POSCAR:
```
Ce3Sm
1.0
-2.415 2.415 4.882
2.415 -2.415 4.882
2.415 2.415 -4.882
Ce Sm
3 1
Cartesian
0.000 0.000 0.000
2.415 0.000 2.441
0.000 2.415 2.441
0.000 0.000 4.882
```

Mass density: 8.3 g cm⁻³
Formation energy: 10.25 kJ/mol of atoms
Size of the total moment: 0.00 μB per cell
Excess energy over the best structure of this formula in the dataset: 0.000 eV/atom